Ga2Si2I | Alexandria | PBE | relaxed; crystal system = tetragonal; E above lowest polymorph = 0.000 eV per atom; size of the total moment = 0.000 Bohr magnetons per cell; DFT total energy = -3.474 eV/atom; formation energy without anion corrections = 215.6 meV/atom; volume = 106.6 Å³ per cell; Fermi-level density of states = 3.622 states/eV/cell
1.0
-0.786 -3.742 -2.657
0.691 -2.761 3.684
-4.840 -3.011 1.593
Si Ga I
2 2 1
direct
0.377 0.377 0.247 Si
0.623 0.623 0.753 Si
0.750 0.250 0.500 Ga
0.250 0.750 0.500 Ga
0.000 0.000 0.000 I

***

PmEr7Sc4 | Alexandria | PBE | relaxed; crystal system = monoclinic; E above lowest polymorph = 0.228 eV per atom; size of the total moment = 0.410 Bohr magnetons per cell; DFT total energy = -4.920 eV/atom; volume = 353.5 Å³ per cell; Fermi-level density of states = 20.142 states/eV/cell
1.0
5.697 0.000 0.000
2.848 8.432 1.347
2.848 1.387 7.582
Er Pm Sc
7 1 4
direct
0.912 0.446 0.730 Er
0.500 0.000 0.000 Er
0.790 0.881 0.539 Er
0.242 0.723 0.792 Er
0.210 0.119 0.461 Er
0.758 0.277 0.208 Er
0.088 0.554 0.270 Er
0.000 0.000 0.000 Pm
0.555 0.298 0.593 Sc
0.445 0.702 0.407 Sc
0.332 0.351 0.986 Sc
0.668 0.649 0.014 Sc

***

KCo2Ni | Alexandria | PBE | relaxed; crystal system = tetragonal; E above lowest polymorph = 0.355 eV per atom; size of the total moment = 8.844 Bohr magnetons per cell; DFT total energy = -4.315 eV/atom; volume = 178.2 Å³ per cell; Fermi-level density of states = 13.521 states/eV/cell
1.0
4.727 0.000 0.000
0.000 4.727 0.000
2.364 2.364 7.976
Co Ni K
4 2 2
direct
0.875 0.126 0.750 Co
0.874 0.625 0.250 Co
0.876 0.125 0.250 Co
0.375 0.124 0.750 Co
0.000 0.000 0.000 Ni
0.750 0.250 0.500 Ni
0.500 0.500 0.000 K
0.250 0.750 0.500 K

***

V2GaGe | Alexandria | PBE | relaxed; crystal system = tetragonal; size of the total moment = 0.000 Bohr magnetons per cell; DFT total energy = -6.550 eV/atom; volume = 56.6 Å³ per cell; Fermi-level density of states = 4.621 states/eV/cell
1.0
3.886 0.000 0.000
0.000 3.817 0.000
0.000 0.000 3.817
V Ge Ga
2 1 1
direct
0.000 0.000 0.500 V
0.000 0.500 0.000 V
0.500 0.500 0.500 Ge
0.500 0.000 0.000 Ga

***

AcDy2Y | Alexandria | PBE | relaxed; crystal system = trigonal; E above lowest polymorph = 0.000 eV per atom; size of the total moment = 0.000 Bohr magnetons per cell; DFT total energy = -4.886 eV/atom; volume = 139.1 Å³ per cell; Fermi-level density of states = 5.637 states/eV/cell
1.0
3.691 0.000 0.000
1.845 3.196 0.000
1.845 1.065 11.788
Dy Y Ac
2 1 1
direct
0.747 0.747 0.759 Dy
0.253 0.253 0.241 Dy
0.000 0.000 0.000 Y
0.500 0.500 0.500 Ac

***

MgHgPt2 | Alexandria | PBE | relaxed; crystal system = orthorhombic; size of the total moment = 0.000 Bohr magnetons per cell; DFT total energy = -3.879 eV/atom; volume = 68.9 Å³ per cell; Fermi-level density of states = 1.250 states/eV/cell
1.0
4.704 0.000 0.000
0.000 2.997 0.002
0.000 -0.003 4.884
Hg Pt Mg
1 2 1
direct
0.000 0.625 0.435 Hg
0.500 0.125 0.307 Pt
0.000 0.125 0.933 Pt
0.500 0.625 0.825 Mg